Below is a geometry-optimized LiNiRhO4 structure, with properties calculated at the GGA+U level.

Cell: 5.8602 6.0071 6.0071 Å, 60.73 60.81 60.81°
Last column: magnetic moment on the atom in μB.
Atoms (fractional coordinates):
O: 0.2314 0.2383 0.2989  -0.18
Rh: 0.0000 0.5000 0.5000  -0.84
Li: 0.3628 0.3872 0.8872  -0.01
O: 0.2238 0.7507 0.2507  -0.10
Ni: 0.5000 0.0000 0.5000  1.51
O: 0.7686 0.2011 0.2617  -0.18
Li: 0.6372 0.6128 0.1128  -0.01
O: 0.7686 0.7617 0.7011  -0.18
O: 0.2314 0.7989 0.7383  -0.18
O: 0.7749 0.7507 0.2507  -0.10
Ni: 0.0000 0.0000 0.5000  1.51
O: 0.2251 0.2493 0.7493  -0.10
Rh: 0.0000 0.0000 0.0000  -0.84
O: 0.7762 0.2493 0.7493  -0.10

Results
DFT total energy: -78.3 eV per cell